Entry from Alexandria via LeMat-Bulk: a relaxed structure of MnF3 (PBE with a Hubbard U).

## Properties
E: -5.715 eV/atom

abc: 9.0757 5.1639 5.6045
angles: 90.00 125.20 90.00
Last column: nearest neighbours and their distance in Å.
Space group C2/c (No. 15)
Asymmetric unit:
Mn1 0.2500 0.2500 0.0000  4 F 1.86-1.95
F1 0.0000 0.1365 0.7500  2 Mn 1.95
F2 0.1963 0.4641 0.2606  1 Mn 1.86